Record 1
{"formula": "LiNp2CuS5", "functional": "GGA-PBE", "state": "optimized geometry", "lattice": [[-3.1472, 1.7176, 1.2089], [-2.6790, -4.7723, -6.1155], [-1.7138, -8.1388, 7.1020]], "species": ["Np", "Np", "Np", "Np", "S", "S", "S", "S", "S", "S", "S", "S", "S", "S", "Cu", "Cu", "Li", "Li"], "frac_coords": [[0.8858, 0.7716, 0.1887], [0.1142, 0.2284, 0.6887], [0.8706, 0.7412, 0.8036], [0.1294, 0.2588, 0.3036], [0.2935, 0.5870, 0.6697], [0.7065, 0.4130, 0.1697], [0.3555, 0.7110, 0.0038], [0.9578, 0.9156, 0.5682], [0.6900, 0.3800, 0.8441], [0.0422, 0.0844, 0.0682], [0.4976, 0.9952, 0.7794], [0.6445, 0.2890, 0.5038], [0.3100, 0.6200, 0.3441], [0.5024, 0.0048, 0.2794], [0.5670, 0.1339, 0.9593], [0.4330, 0.8661, 0.4593], [0.8000, 0.6000, 0.5071], [0.2000, 0.4000, 0.0071]], "spacegroup": "Cmc2_1", "final_energy_ev_per_atom": -6.932, "crystal_system": "orthorhombic", "e_form_raw_ev_per_atom": -1.0951}

***

Record 2
{"formula": "MnTl2S3", "functional": "GGA-PBE", "state": "optimized geometry", "lattice": [[-0.8870, -5.3663, -3.1270], [4.0241, 2.4616, -5.3659], [4.1345, -3.4287, 4.7113]], "species": ["Tl", "Tl", "Tl", "Tl", "S", "S", "S", "S", "S", "S", "Mn", "Mn"], "frac_coords": [[0.7500, 0.1935, 0.5012], [0.2500, 0.4988, 0.8065], [0.7500, 0.5012, 0.1935], [0.2500, 0.8065, 0.4988], [0.5000, 0.1340, 0.8660], [0.2500, 0.3409, 0.3409], [0.0000, 0.8660, 0.1340], [0.5000, 0.8660, 0.1340], [0.0000, 0.1340, 0.8660], [0.7500, 0.6591, 0.6591], [0.7500, 0.9263, 0.9263], [0.2500, 0.0737, 0.0737]], "e_above_lowest_polymorph_ev_per_atom": 0.0102, "spacegroup": "Cmcm", "final_energy_ev_per_atom": -4.758, "crystal_system": "orthorhombic", "e_form_raw_ev_per_atom": -0.3774}

***

Record 3
{"formula": "Ce2AgRu", "functional": "GGA-PBE", "state": "optimized geometry", "lattice": [[-3.0114, 1.1722, 0.8322], [-2.6495, -2.8214, -5.6132], [-1.4419, -6.5108, 3.9532]], "species": ["Ce", "Ce", "Ce", "Ce", "Ru", "Ru", "Ag", "Ag"], "frac_coords": [[0.5000, 0.5360, 0.2213], [0.5000, 0.4640, 0.7787], [0.5000, 0.0360, 0.7787], [0.5000, 0.9640, 0.2213], [0.0000, 0.7500, 0.9472], [0.0000, 0.2500, 0.0528], [0.0000, 0.2500, 0.4675], [0.0000, 0.7500, 0.5325]], "e_form_ev_per_atom": -0.237, "spacegroup": "Pmma", "final_energy_ev_per_atom": -6.236, "crystal_system": "orthorhombic"}